The following is a DFT calculation (PBE) of a relaxed structure of ScSiI2.

Unit cell a=5.221 b=5.221 c=5.221 alpha=60.00 beta=60.00 gamma=60.00
Fractional coordinates of all 4 atoms:
Sc1 0.500 0.500 0.500
Si1 0.000 0.000 0.000
I1 0.750 0.750 0.750
I2 0.250 0.250 0.250

As for the electronic total energy: -14.5 eV for the cell shown. The space group is Fm-3m, No. 225. The value obtained for the energy relative to the elements, uncorrected is 0.099 eV per atom. The value obtained for the magnetic moment is 0.0 μB per cell.

The following is a DFT calculation (PBE) of a relaxed structure of Li2SmI4.

Unit cell a=7.203 b=7.203 c=7.203 alpha=106.42 beta=106.42 gamma=115.77
Last column: magnetic moment on the atom in μB.
Fractional coordinates of all 7 atoms:
I1 0.178 0.662 0.840  0.00
I2 0.338 0.178 0.517  0.00
I3 0.662 0.822 0.483  0.00
I4 0.822 0.338 0.160  0.00
Li1 0.250 0.750 0.500  0.00
Li2 0.750 0.250 0.500  0.00
Sm1 0.500 0.500 0.000  0.45

As for the electronic total energy: -22.0 eV for the cell shown. The space group is I4/m, No. 87. The value obtained for the energy relative to the elements, uncorrected is -1.036 eV per atom. The value obtained for the magnetic moment is 1.0 μB per cell.

The following is a DFT calculation (PBE) of a relaxed structure of CaMnTc2.

Unit cell a=2.763 b=2.763 c=8.493 alpha=90.00 beta=90.00 gamma=92.35
Last column: magnetic moment on the atom in μB.
Fractional coordinates of all 4 atoms:
Tc1 0.000 0.000 0.550  -0.17
Tc2 0.000 0.000 0.950  -0.17
Mn1 0.500 0.500 0.750  1.43
Ca1 0.500 0.500 0.250  0.07

As for the electronic total energy: -30.0 eV for the cell shown. The space group is Cmmm, No. 65. The calculation puts the energy relative to the elements at 1.913 eV/f.u. The value obtained for the magnetic moment is 1.4 μB per cell.

The following is a DFT calculation (PBE) of a relaxed structure of InSiMoN2.

Unit cell a=3.937 b=5.279 c=3.937 alpha=90.00 beta=90.00 gamma=90.00
Last column: magnetic moment on the atom in μB.
Fractional coordinates of all 5 atoms:
Si1 0.000 0.500 0.000  0.02
In1 0.500 0.500 0.500  0.01
N1 0.500 0.000 0.000  0.06
N2 0.000 0.000 0.500  0.07
Mo1 0.000 0.000 0.000  -0.05

As for the electronic total energy: -33.0 eV for the cell shown. The space group is P4/mmm, No. 123. The value obtained for the energy relative to the elements, uncorrected is 0.534 eV per atom. The value obtained for the magnetic moment is 0.2 μB per cell.

The following is a DFT calculation (PBE) of a relaxed structure of CuReSi2F.

Unit cell a=4.231 b=3.798 c=4.231 alpha=90.00 beta=90.00 gamma=90.00
Last column: magnetic moment on the atom in μB.
Fractional coordinates of all 5 atoms:
Si1 0.500 0.000 0.000  0.00
Si2 0.000 0.000 0.500  -0.02
F1 0.000 0.000 0.000  0.00
Re1 0.500 0.500 0.500  0.75
Cu1 0.000 0.500 0.000  0.03

As for the electronic total energy: -26.6 eV for the cell shown. The space group is P4/mmm, No. 123. The value obtained for the energy relative to the elements, uncorrected is 0.527 eV per atom. The value obtained for the magnetic moment is 0.8 μB per cell.

The following is a DFT calculation (PBE) of a relaxed structure of Dy3B8Ir3.

Unit cell a=3.439 b=7.254 c=7.254 alpha=79.27 beta=76.29 gamma=76.29
Fractional coordinates of all 14 atoms:
B1 0.638 0.070 0.654
B2 0.199 0.096 0.505
B3 0.362 0.346 0.930
B4 0.199 0.505 0.096
B5 0.801 0.904 0.495
B6 0.801 0.495 0.904
B7 0.638 0.654 0.070
B8 0.362 0.930 0.346
Ir1 0.000 0.759 0.241
Ir2 0.000 0.241 0.759
Ir3 0.500 0.000 0.000
Dy1 0.500 0.500 0.500
Dy2 0.207 0.793 0.793
Dy3 0.793 0.207 0.207

As for the electronic total energy: -97.1 eV for the cell shown. The space group is Immm, No. 71. The calculation puts the energy relative to the elements at -3.253 eV/f.u. The value obtained for the magnetic moment is 0.0 μB per cell.

The following is a DFT calculation (PBE) of a relaxed structure of NaY2BAu.

Unit cell a=5.727 b=4.113 c=5.727 alpha=90.00 beta=90.00 gamma=90.00
Last column: magnetic moment on the atom in μB.
Fractional coordinates of all 5 atoms:
Y1 0.000 0.000 0.500  0.18
Y2 0.500 0.000 0.000  0.25
Na1 0.500 0.500 0.500  0.00
B1 0.000 0.500 0.000  0.00
Au1 0.000 0.000 0.000  0.03

As for the electronic total energy: -22.6 eV for the cell shown. The space group is P4/mmm, No. 123. The calculation puts the energy relative to the elements at 1.642 eV/f.u. The value obtained for the magnetic moment is 0.9 μB per cell.

The following is a DFT calculation (PBE) of a relaxed structure of Sr2CeP3Rh12.

Unit cell a=7.278 b=7.278 c=7.278 alpha=71.04 beta=71.04 gamma=71.04
Fractional coordinates of all 18 atoms:
Rh1 0.674 0.082 0.674
Rh2 0.326 0.326 0.918
Rh3 0.326 0.918 0.326
Rh4 0.674 0.674 0.082
Rh5 0.082 0.674 0.674
Rh6 0.918 0.326 0.326
Rh7 0.624 0.144 0.144
Rh8 0.376 0.856 0.856
Rh9 0.144 0.624 0.144
Rh10 0.856 0.376 0.856
Rh11 0.144 0.144 0.624
Rh12 0.856 0.856 0.376
P1 0.500 0.000 0.000
P2 0.000 0.500 0.000
P3 0.000 0.000 0.500
Ce1 0.000 0.000 0.000
Sr1 0.402 0.402 0.402
Sr2 0.598 0.598 0.598

As for the electronic total energy: -117.6 eV for the cell shown. The space group is R-3m, No. 166. The calculation puts the energy relative to the elements at -3.881 eV/f.u. The value obtained for the magnetic moment is 0.0 μB per cell.